Material: Ta3CrF
Method: DFT, PBEsol
State: optimized geometry

Geometry as POSCAR:
```
Ta3CrF
1.0
-0.8060 -2.2629 -3.4935
-2.2029 -2.7873 2.3136
-3.5316 2.2551 -0.6459
Ta F Cr
3 1 1
Cartesian
-0.4030 -1.1314 -1.7468
-1.7658 1.1275 -0.3230
-1.1015 -1.3937 1.1568
0.0000 0.0000 0.0000
-3.2703 -1.3975 -0.9129
```

Summary:
Energy in eV/atom: -9.59

***

Material: Cr3TcF
Method: DFT, PBEsol
State: optimized geometry

Geometry as POSCAR:
```
Cr3TcF
1.0
4.6192 0.0000 0.0000
0.0000 4.6192 0.0000
0.0000 0.0000 4.6192
Cr F Tc
3 1 1
Cartesian
0.0000 2.3096 0.0000
0.0000 0.0000 2.3096
2.3096 0.0000 0.0000
2.3096 2.3096 2.3096
0.0000 0.0000 0.0000
```

Summary:
Energy in eV/atom: -7.50

***

no.,total moment (μB/atom),N(E_F) (states/eV/atom)
1,0.51,0.763
2,2.02,0.555